Record 1
# Si2GeSbTe, optimized geometry, DFT GGA-PBEsol
data_Si2GeSbTe
_cell_length_a 4.720
_cell_length_b 4.720
_cell_length_c 5.485
_cell_angle_alpha 90.00
_cell_angle_beta 90.00
_cell_angle_gamma 90.00
_symmetry_space_group_name_H-M 'P 1'
_symmetry_Int_Tables_number 1
loop_
_symmetry_equiv_pos_as_xyz
'x,y,z'
loop_
_atom_site_label
_atom_site_fract_x
_atom_site_fract_y
_atom_site_fract_z
Sb1 0.000 0.000 0.500
Te1 0.500 0.500 0.500
Si1 0.000 0.500 0.000
Si2 0.500 0.000 0.000
Ge1 0.000 0.000 0.000
# Energy relative to the elements, uncorrected: 774 meV per atom
# Electronic total energy: -20.6 eV per cell
# SG: P4/mmm, No. 123

Record 2
# SrSiP2S, optimized geometry, DFT GGA-PBEsol
data_SrSiP2S
_cell_length_a 4.583
_cell_length_b 4.583
_cell_length_c 4.784
_cell_angle_alpha 90.00
_cell_angle_beta 90.00
_cell_angle_gamma 90.00
_symmetry_space_group_name_H-M 'P 1'
_symmetry_Int_Tables_number 1
loop_
_symmetry_equiv_pos_as_xyz
'x,y,z'
loop_
_atom_site_label
_atom_site_fract_x
_atom_site_fract_y
_atom_site_fract_z
Si1 0.000 0.000 0.000
S1 0.000 0.000 0.500
P1 0.500 0.000 0.000
P2 0.000 0.500 0.000
Sr1 0.500 0.500 0.500
# Energy relative to the elements, uncorrected: -302 meV per atom
# Electronic total energy: -25.1 eV per cell
# SG: P4/mmm, No. 123

Record 3
# CaFe3Tc, optimized geometry, DFT GGA-PBEsol
data_CaFe3Tc
_cell_length_a 4.471
_cell_length_b 4.471
_cell_length_c 4.471
_cell_angle_alpha 90.00
_cell_angle_beta 90.00
_cell_angle_gamma 90.00
_symmetry_space_group_name_H-M 'P 1'
_symmetry_Int_Tables_number 1
loop_
_symmetry_equiv_pos_as_xyz
'x,y,z'
loop_
_atom_site_label
_atom_site_fract_x
_atom_site_fract_y
_atom_site_fract_z
Fe1 0.000 0.500 0.000
Tc1 0.000 0.000 0.000
Fe2 0.000 0.000 0.500
Fe3 0.500 0.000 0.000
Ca1 0.500 0.500 0.500
# Electronic total energy: -35.3 eV per cell
# SG: Pm-3m, No. 221

Record 4
# NiMo2Rh, optimized geometry, DFT GGA-PBEsol
data_NiMo2Rh
_cell_length_a 3.145
_cell_length_b 3.145
_cell_length_c 5.554
_cell_angle_alpha 90.00
_cell_angle_beta 90.00
_cell_angle_gamma 90.00
_symmetry_space_group_name_H-M 'P 1'
_symmetry_Int_Tables_number 1
loop_
_symmetry_equiv_pos_as_xyz
'x,y,z'
loop_
_atom_site_label
_atom_site_fract_x
_atom_site_fract_y
_atom_site_fract_z
Mo1 0.000 0.000 0.996
Mo2 0.500 0.500 0.274
Rh1 0.500 0.500 0.739
Ni1 0.000 0.000 0.492
# Electronic total energy: -37.7 eV per cell
# SG: P4mm, No. 99
# Distance to the lowest polymorph of the same formula: 0.60 eV per formula unit

Record 5
# CaWNF2, optimized geometry, DFT GGA-PBEsol
data_CaWNF2
_cell_length_a 4.174
_cell_length_b 4.174
_cell_length_c 3.949
_cell_angle_alpha 90.00
_cell_angle_beta 90.00
_cell_angle_gamma 90.00
_symmetry_space_group_name_H-M 'P 1'
_symmetry_Int_Tables_number 1
loop_
_symmetry_equiv_pos_as_xyz
'x,y,z'
loop_
_atom_site_label
_atom_site_fract_x
_atom_site_fract_y
_atom_site_fract_z
F1 0.500 0.000 0.000
N1 0.000 0.000 0.500
F2 0.000 0.500 0.000
Ca1 0.500 0.500 0.500
W1 0.000 0.000 0.000
# Energy relative to the elements, uncorrected: -1305 meV per atom
# Electronic total energy: -34.8 eV per cell
# SG: P4/mmm, No. 123

Record 6
# Ba5Fe4S11, optimized geometry, DFT GGA-PBEsol
data_Ba5Fe4S11
_cell_length_a 6.451
_cell_length_b 8.936
_cell_length_c 16.130
_cell_angle_alpha 90.00
_cell_angle_beta 90.00
_cell_angle_gamma 90.00
_symmetry_space_group_name_H-M 'P 1'
_symmetry_Int_Tables_number 1
loop_
_symmetry_equiv_pos_as_xyz
'x,y,z'
loop_
_atom_site_label
_atom_site_fract_x
_atom_site_fract_y
_atom_site_fract_z
Fe1 0.879 0.137 0.000
Ba1 0.003 0.858 0.312
Ba2 0.003 0.858 0.688
S1 0.759 0.166 0.323
S2 0.240 0.167 0.319
S3 0.490 0.347 0.132
S4 0.510 0.847 0.632
Ba3 0.997 0.358 0.188
Ba4 0.997 0.358 0.812
S5 0.241 0.666 0.823
S6 0.241 0.666 0.177
Fe2 0.495 0.086 0.394
Ba5 0.005 0.743 0.000
Fe3 0.505 0.586 0.106
S7 0.994 0.032 0.116
S8 0.544 0.108 0.000
S9 0.490 0.347 0.868
S10 0.491 0.239 0.500
S11 0.759 0.166 0.677
S12 0.006 0.532 0.384
Fe4 0.582 0.349 0.000
Ba6 0.498 0.485 0.674
Ba7 0.502 0.985 0.826
S13 0.509 0.739 0.000
Ba8 0.995 0.243 0.500
Fe5 0.495 0.086 0.606
S14 0.080 0.887 0.500
S15 0.240 0.167 0.681
S16 0.006 0.532 0.616
S17 0.760 0.667 0.181
S18 0.456 0.608 0.500
S19 0.920 0.387 0.000
S20 0.510 0.847 0.368
Ba9 0.502 0.985 0.174
S21 0.994 0.032 0.884
Fe6 0.121 0.637 0.500
Ba10 0.498 0.485 0.326
Fe7 0.505 0.586 0.894
S22 0.760 0.667 0.819
Fe8 0.418 0.849 0.500
# Energy relative to the elements, uncorrected: -1222 meV per atom
# Electronic total energy: -238.5 eV per cell
# SG: Pmn2_1, No. 31

Record 7
# Sc3Mn3Al7Si5, optimized geometry, DFT GGA-PBEsol
data_Sc3Mn3Al7Si5
_cell_length_a 8.250
_cell_length_b 8.250
_cell_length_c 8.882
_cell_angle_alpha 90.00
_cell_angle_beta 90.00
_cell_angle_gamma 120.00
_symmetry_space_group_name_H-M 'P 1'
_symmetry_Int_Tables_number 1
loop_
_symmetry_equiv_pos_as_xyz
'x,y,z'
loop_
_atom_site_label
_atom_site_fract_x
_atom_site_fract_y
_atom_site_fract_z
Al1 0.836 0.164 0.421
Sc1 0.800 0.200 0.750
Al2 0.836 0.672 0.421
Si1 0.559 0.441 0.250
Al3 0.000 0.000 0.250
Mn1 0.500 0.500 0.500
Mn2 0.000 0.500 0.000
Al4 0.164 0.836 0.579
Mn3 0.500 0.500 0.000
Si2 0.333 0.667 0.461
Si3 0.333 0.667 0.039
Sc2 0.200 0.400 0.250
Al5 0.836 0.672 0.079
Sc3 0.400 0.200 0.750
Al6 0.836 0.164 0.079
Si4 0.667 0.333 0.961
Al7 0.164 0.328 0.579
Al8 0.328 0.164 0.079
Si5 0.882 0.441 0.250
Al9 0.164 0.836 0.921
Mn4 0.500 0.000 0.500
Al10 0.000 0.000 0.750
Si6 0.441 0.882 0.750
Sc4 0.200 0.800 0.250
Sc5 0.600 0.800 0.250
Si7 0.441 0.559 0.750
Mn5 0.500 0.000 0.000
Sc6 0.800 0.600 0.750
Si8 0.667 0.333 0.539
Al11 0.672 0.836 0.921
Mn6 0.000 0.500 0.500
Si9 0.118 0.559 0.750
Al12 0.672 0.836 0.579
Al13 0.328 0.164 0.421
Al14 0.164 0.328 0.921
Si10 0.559 0.118 0.250
# Energy relative to the elements, uncorrected: -563 meV per atom
# Electronic total energy: -233.2 eV per cell
# SG: P6_3/mmc, No. 194

Record 8
# FeSiOs3, optimized geometry, DFT GGA-PBEsol
data_FeSiOs3
_cell_length_a 4.343
_cell_length_b 4.343
_cell_length_c 4.343
_cell_angle_alpha 90.00
_cell_angle_beta 90.00
_cell_angle_gamma 90.00
_symmetry_space_group_name_H-M 'P 1'
_symmetry_Int_Tables_number 1
loop_
_symmetry_equiv_pos_as_xyz
'x,y,z'
loop_
_atom_site_label
_atom_site_fract_x
_atom_site_fract_y
_atom_site_fract_z
Fe1 0.000 0.000 0.000
Si1 0.500 0.500 0.500
Os1 0.500 0.000 0.000
Os2 0.000 0.000 0.500
Os3 0.000 0.500 0.000
# Energy relative to the elements, uncorrected: 1892 meV per atom
# Electronic total energy: -41.9 eV per cell
# SG: Pm-3m, No. 221

Record 9
# BeCu3, optimized geometry, DFT GGA-PBEsol
data_BeCu3
_cell_length_a 4.010
_cell_length_b 4.916
_cell_length_c 4.916
_cell_angle_alpha 120.00
_cell_angle_beta 90.00
_cell_angle_gamma 90.00
_symmetry_space_group_name_H-M 'P 1'
_symmetry_Int_Tables_number 1
loop_
_symmetry_equiv_pos_as_xyz
'x,y,z'
loop_
_atom_site_label
_atom_site_fract_x
_atom_site_fract_y
_atom_site_fract_z
Cu1 0.250 0.339 0.169
Cu2 0.750 0.169 0.339
Be1 0.750 0.667 0.333
Cu3 0.250 0.831 0.661
Cu4 0.250 0.831 0.169
Cu5 0.750 0.661 0.831
Be2 0.250 0.333 0.667
Cu6 0.750 0.169 0.831
# Electronic total energy: -34.3 eV per cell
# SG: P6_3/mmc, No. 194

Record 10
# NaTiHg3, optimized geometry, DFT GGA-PBEsol
data_NaTiHg3
_cell_length_a 5.039
_cell_length_b 5.039
_cell_length_c 5.039
_cell_angle_alpha 90.00
_cell_angle_beta 90.00
_cell_angle_gamma 90.00
_symmetry_space_group_name_H-M 'P 1'
_symmetry_Int_Tables_number 1
loop_
_symmetry_equiv_pos_as_xyz
'x,y,z'
loop_
_atom_site_label
_atom_site_fract_x
_atom_site_fract_y
_atom_site_fract_z
Ti1 0.500 0.500 0.500
Na1 0.000 0.000 0.000
Hg1 0.000 0.500 0.000
Hg2 0.000 0.000 0.500
Hg3 0.500 0.000 0.000
# Electronic total energy: -7.4 eV per cell
# SG: Pm-3m, No. 221

Record 11
# Sb2TeAu, optimized geometry, DFT GGA-PBEsol
data_Sb2TeAu
_cell_length_a 4.183
_cell_length_b 4.183
_cell_length_c 7.209
_cell_angle_alpha 73.14
_cell_angle_beta 73.14
_cell_angle_gamma 60.00
_symmetry_space_group_name_H-M 'P 1'
_symmetry_Int_Tables_number 1
loop_
_symmetry_equiv_pos_as_xyz
'x,y,z'
loop_
_atom_site_label
_atom_site_fract_x
_atom_site_fract_y
_atom_site_fract_z
Sb1 0.991 0.991 0.026
Te1 0.510 0.510 0.471
Sb2 0.747 0.747 0.759
Au1 0.252 0.252 0.244
# Energy relative to the elements, uncorrected: -47 meV per atom
# Electronic total energy: -16.8 eV per cell
# SG: R3m, No. 160

Record 12
# KCr3As, optimized geometry, DFT GGA-PBEsol
data_KCr3As
_cell_length_a 5.000
_cell_length_b 5.000
_cell_length_c 5.000
_cell_angle_alpha 90.00
_cell_angle_beta 90.00
_cell_angle_gamma 90.00
_symmetry_space_group_name_H-M 'P 1'
_symmetry_Int_Tables_number 1
loop_
_symmetry_equiv_pos_as_xyz
'x,y,z'
loop_
_atom_site_label
_atom_site_fract_x
_atom_site_fract_y
_atom_site_fract_z
As1 0.000 0.000 0.000
Cr1 0.000 0.500 0.000
Cr2 0.000 0.000 0.500
Cr3 0.500 0.000 0.000
K1 0.500 0.500 0.500
# Electronic total energy: -31.7 eV per cell
# SG: Pm-3m, No. 221